VASP calculation (PBE) on CdPIr after structural relaxation.

The space group is F-43m (No. 216) and the conventional cell measures 6.082, 6.082 and 6.082 Å, with angles of 90.00, 90.00 and 90.00 degrees. The distinct sites, in fractional coordinates, are Cd at (0.000, 0.000, 0.000), P at (0.000, 0.000, 0.500) and Ir at (0.250, 0.250, 0.750).

The crystal system is cubic. Its density of states at the Fermi level is 8.935 states/eV/cell. The electronic total energy comes out at -4.818 eV per atom.